*w*
Below is crystalline VMoIO2 at its relaxed geometry, with properties calculated at the PBE+U level.

Computed properties:
total moment: 6.000 μB per cell
volume: 21.93 Å³/atom
density: 4.6 g/cm³

Unit cell a=4.005 b=4.005 c=6.837 alpha=90.00 beta=90.00 gamma=90.00
Fractional positions:
I: 0.000 0.000 0.500
O: 0.000 0.500 0.000
O: 0.500 0.000 0.000
Mo: 0.000 0.000 0.000
V: 0.500 0.500 0.500

***

*x*
Below is crystalline VMoIO2 at its relaxed geometry, with properties calculated at the PBE+U level.

Computed properties:
total moment: 3.363 μB per cell
volume: 18.27 Å³/atom
density: 5.6 g/cm³

Unit cell a=3.970 b=3.970 c=5.796 alpha=90.00 beta=90.00 gamma=90.00
Fractional positions:
O: 0.500 0.000 0.000
O: 0.000 0.500 0.000
Mo: 0.500 0.500 0.500
I: 0.000 0.000 0.500
V: 0.000 0.000 0.000

***

Looking at the structures above, *w* is most stable, and the difference to the next one is 2.5 kJ/mol of atoms.